The following is a DFT calculation (GGA-PBE) of a relaxed Sm3Al crystal.

POSCAR file:
```
Sm3Al
1.0
3.4149 0.0000 0.0000
0.0000 3.4708 0.0000
0.0000 0.0000 10.4859
Al Sm
1 3
direct
0.0000 0.0000 0.9754 Al
0.0000 0.5000 0.4689 Sm
0.5000 0.5000 0.1633 Sm
0.5000 0.0000 0.7258 Sm
```

Output
ρ	6.387	g/cm3
ΔE to the lowest computed polymorph	274	meV/atom
space-group type	Pmm2 (25)
energy of formation from the pure elements	0.09	eV per atom